Below is a geometry-optimized CaZr2Mo structure, with properties calculated at the GGA-PBE level.

Properties
formation energy: 2.24 eV/f.u.
calculated total energy: -6.921 eV/atom
total magnetic moment: 0.072 μB/atom
offset from the most stable computed form: 436 meV per atom
crystal system: cubic

Cell lengths 7.090, 7.090, 7.090 Å; angles 90.00, 90.00, 90.00 degrees
Space group F-43m (No. 216)
Asymmetric unit:
Ca1 0.000 0.000 0.000
Zr1 0.000 0.000 0.500
Zr2 0.250 0.250 0.250
Mo1 0.250 0.250 0.750

---

Below is a geometry-optimized CaN structure, with properties calculated at the GGA-PBE level.

Properties
calculated total energy: -5.759 eV/atom
total magnetic moment: 0.000 μB/atom
ΔE_f (raw): -57.48 kJ per mole of atoms
crystal system: orthorhombic

Cell lengths 6.198, 6.431, 6.018 Å; angles 90.00, 90.00, 90.00 degrees
Space group Cmce (No. 64)
Asymmetric unit:
Ca1 0.250 0.154 0.250
N1 0.000 0.094 0.576

---

Below is a geometry-optimized CaN structure, with properties calculated at the GGA-PBE level.

Properties
calculated total energy: -5.118 eV/atom
total magnetic moment: 0.061 μB/atom
ΔE_f (raw): 4.43 kJ per mole of atoms
crystal system: orthorhombic

Cell lengths 7.392, 7.566, 12.416 Å; angles 90.00, 90.00, 90.00 degrees
Space group Fddd (No. 70, origin choice 2)
Asymmetric unit:
Ca1 0.125 0.336 0.125
N1 0.125 0.125 0.264

---

Below is a geometry-optimized Ca2N structure, with properties calculated at the GGA-PBE level.

Properties
calculated total energy: -4.866 eV/atom
total magnetic moment: 0.001 μB/atom
ΔE_f (raw): -73.03 kJ per mole of atoms
offset from the most stable computed form: 0 meV per atom
crystal system: trigonal

Cell lengths 3.6106, 3.6106, 19.2027 Å; angles 90.00, 90.00, 120.00 degrees
Space group R-3m (No. 166, hexagonal axes)
Asymmetric unit:
Ca1 0.0000 0.0000 0.2320
N1 0.0000 0.0000 0.5000

---

Q: Which of these has the highest total magnetic moment?
A: CaZr2Mo